1.
First-principles (SCAN) data for a PBEsol-optimized structure of TaAgBiIr2, as listed in the Alexandria database. Values from VASP.

Values from the calculation:
DFT formation energy: 2.26 eV/atom
space group: No. 123
DOS(E_F): 4.84 states/eV/f.u.
volume: 22.0 Å³/atom
calculated density: 13.33 g/cm3

```
&SYSTEM
  ibrav = 0, nat = 5, ntyp = 4
/
ATOMIC_SPECIES
Ir 192.22 Ir.upf
Bi 208.98 Bi.upf
Ag 107.87 Ag.upf
Ta 180.95 Ta.upf
CELL_PARAMETERS angstrom
-0.876 1.549 4.409
-3.431 -3.259 0.464
3.246 -3.167 1.758
ATOMIC_POSITIONS crystal
Ir 0.000 0.500 0.000
Ir 0.500 0.000 0.000
Bi 0.000 0.000 0.500
Ag 0.000 0.000 0.000
Ta 0.500 0.500 0.500
```

***

2.
First-principles (SCAN) data for a PBEsol-optimized structure of NbTeP2S, as listed in the Alexandria database. Values from VASP.

Values from the calculation:
space group: No. 123
DOS(E_F): 2.16 states/eV/f.u.
volume: 22.9 Å³/atom
calculated density: 4.56 g/cm3
energy relative to the elements, uncorrected: 1.30 eV/atom

```
&SYSTEM
  ibrav = 0, nat = 5, ntyp = 4
/
ATOMIC_SPECIES
P 30.97 P.upf
Nb 92.91 Nb.upf
Te 127.60 Te.upf
S 32.06 S.upf
CELL_PARAMETERS angstrom
4.807 0.000 0.000
0.000 4.882 0.000
0.000 0.000 4.882
ATOMIC_POSITIONS crystal
P 0.000 0.000 0.500
P 0.000 0.500 0.000
Nb 0.500 0.500 0.500
Te 0.000 0.000 0.000
S 0.500 0.000 0.000
```

***

3.
First-principles (SCAN) data for a PBEsol-optimized structure of CdInSn2, as listed in the Alexandria database. Values from VASP.

Values from the calculation:
DFT formation energy: 0.12 eV/atom
space group: No. 122
polymorph energy (0 for the lowest one): 0.0 meV/atom
DOS(E_F): 2.44 states/eV/f.u.
volume: 25.6 Å³/atom
calculated density: 7.53 g/cm3

```
&SYSTEM
  ibrav = 0, nat = 8, ntyp = 3
/
ATOMIC_SPECIES
Cd 112.41 Cd.upf
Sn 118.71 Sn.upf
In 114.82 In.upf
CELL_PARAMETERS angstrom
6.164 0.000 0.000
3.082 5.765 0.000
3.082 0.000 5.765
ATOMIC_POSITIONS crystal
Cd 0.250 0.500 0.500
Cd 0.500 0.000 0.000
Sn 0.131 0.994 0.494
Sn 0.619 0.006 0.506
Sn 0.375 0.494 0.006
Sn 0.875 0.506 0.994
In 0.750 0.500 0.500
In 0.000 0.000 0.000
```

***

4.
First-principles (SCAN) data for a PBEsol-optimized structure of NiAu3, as listed in the Alexandria database. Values from VASP.

Values from the calculation:
DFT formation energy: 0.04 eV/atom
space group: No. 166
DOS(E_F): 1.26 states/eV/f.u.
volume: 15.5 Å³/atom
calculated density: 17.42 g/cm3

```
&SYSTEM
  ibrav = 0, nat = 4, ntyp = 2
/
ATOMIC_SPECIES
Ni 58.69 Ni.upf
Au 196.97 Au.upf
CELL_PARAMETERS angstrom
2.820 0.000 0.000
1.410 2.442 0.000
1.410 0.814 8.989
ATOMIC_POSITIONS crystal
Ni 0.000 0.000 0.000
Au 0.257 0.257 0.229
Au 0.500 0.500 0.500
Au 0.743 0.743 0.771
```

***

Which value of volume does entry 4 give?
15.5 Å³/atom